Below is a geometry-optimized KAlCu2Se4 structure, with properties calculated at the PBE-GGA level.

Results
Space-group type = I-42m
ΔE_f (raw) = -492.8 meV per atom
VASP energy = -0.284 Ry/atom
Calculated density = 4.4 g/cm³

Cell lengths 6.4249, 6.4249, 6.4249 Å; angles 118.01, 118.01, 93.49 degrees
Fractional positions:
K (0.0000, 0.0000, 0.0000)
Al (0.5000, 0.5000, 0.0000)
Cu (0.2500, 0.7500, 0.5000)
Cu (0.7500, 0.2500, 0.5000)
Se (0.1302, 0.5398, 0.0000)
Se (0.4602, 0.4602, 0.5904)
Se (0.5398, 0.1302, 0.0000)
Se (0.8698, 0.8698, 0.4096)


Below is a geometry-optimized KSr2AlCu structure, with properties calculated at the PBE-GGA level.

Results
Space-group type = P4/mmm
VASP energy = -0.176 Ry/atom
Calculated density = 2.8 g/cm³

Cell lengths 6.1201, 6.1201, 4.8459 Å; angles 90.00, 90.00, 90.00 degrees
Fractional positions:
K (0.0000, 0.0000, 0.0000)
Sr (0.0000, 0.5000, 0.5000)
Sr (0.5000, 0.0000, 0.5000)
Al (0.5000, 0.5000, 0.0000)
Cu (0.5000, 0.5000, 0.5000)


Below is a geometry-optimized K2TiAlCu structure, with properties calculated at the PBE-GGA level.

Results
Space-group type = P4/mmm
VASP energy = -0.192 Ry/atom
Calculated density = 2.0 g/cm³

Cell lengths 5.9474, 5.9474, 5.0363 Å; angles 90.00, 90.00, 90.00 degrees
Fractional positions:
K (0.0000, 0.5000, 0.0000)
K (0.5000, 0.0000, 0.0000)
Ti (0.0000, 0.0000, 0.5000)
Al (0.5000, 0.5000, 0.5000)
Cu (0.0000, 0.0000, 0.0000)


Below is a geometry-optimized KY2AlCu structure, with properties calculated at the PBE-GGA level.

Results
Space-group type = P4/mmm
VASP energy = -0.306 Ry/atom
Calculated density = 3.5 g/cm³

Cell lengths 5.5122, 5.5122, 4.7759 Å; angles 90.00, 90.00, 90.00 degrees
Fractional positions:
K (0.0000, 0.0000, 0.0000)
Y (0.0000, 0.5000, 0.5000)
Y (0.5000, 0.0000, 0.5000)
Al (0.5000, 0.5000, 0.0000)
Cu (0.5000, 0.5000, 0.5000)


Below is a geometry-optimized KAlZn2Cu structure, with properties calculated at the PBE-GGA level.

Results
Space-group type = P4/mmm
VASP energy = -0.157 Ry/atom
Calculated density = 3.9 g/cm³

Cell lengths 4.8480, 4.8480, 4.7164 Å; angles 90.00, 90.00, 90.00 degrees
Fractional positions:
K (0.0000, 0.0000, 0.0000)
Al (0.5000, 0.5000, 0.0000)
Zn (0.0000, 0.5000, 0.5000)
Zn (0.5000, 0.0000, 0.5000)
Cu (0.5000, 0.5000, 0.5000)


Below is a geometry-optimized K2AlZnCu structure, with properties calculated at the PBE-GGA level.

Results
Space-group type = P4/mmm
VASP energy = -0.128 Ry/atom
Calculated density = 2.2 g/cm³

Cell lengths 6.0941, 6.0941, 4.7591 Å; angles 90.00, 90.00, 90.00 degrees
Fractional positions:
K (0.0000, 0.5000, 0.0000)
K (0.5000, 0.0000, 0.0000)
Al (0.0000, 0.0000, 0.5000)
Zn (0.5000, 0.5000, 0.5000)
Cu (0.5000, 0.5000, 0.0000)


Below is a geometry-optimized KAl2ZnCu structure, with properties calculated at the PBE-GGA level.

Results
Space-group type = P4/mmm
VASP energy = -0.155 Ry/atom
Calculated density = 2.7 g/cm³

Cell lengths 4.7714, 4.7714, 5.9298 Å; angles 90.00, 90.00, 90.00 degrees
Fractional positions:
K (0.0000, 0.0000, 0.0000)
Al (0.0000, 0.5000, 0.5000)
Al (0.5000, 0.0000, 0.5000)
Zn (0.0000, 0.0000, 0.5000)
Cu (0.5000, 0.5000, 0.0000)


Below is a geometry-optimized La3AlCu structure, with properties calculated at the PBE-GGA level.

Results
Space-group type = C2/m
VASP energy = -0.347 Ry/atom
Calculated density = 6.0 g/cm³
E above lowest polymorph = 0.00 eV/f.u.

Cell lengths 6.4241, 6.4241, 9.7548 Å; angles 101.66, 101.66, 45.87 degrees
Fractional positions:
La (0.0404, 0.0404, 0.3305)
La (0.2684, 0.2684, 0.6936)
La (0.3742, 0.3742, 0.0837)
La (0.6258, 0.6258, 0.9163)
La (0.7316, 0.7316, 0.3064)
La (0.9596, 0.9596, 0.6695)
Al (0.3914, 0.3914, 0.4229)
Al (0.6086, 0.6086, 0.5771)
Cu (0.1063, 0.1063, 0.0621)
Cu (0.8937, 0.8937, 0.9379)


Below is a geometry-optimized La2AlCu3 structure, with properties calculated at the PBE-GGA level.

Results
Space-group type = Fmmm
VASP energy = -0.335 Ry/atom
Calculated density = 6.2 g/cm³
E above lowest polymorph = 0.17 eV/f.u.

Cell lengths 8.8405, 8.6241, 5.8863 Å; angles 72.30, 68.33, 39.37 degrees
Fractional positions:
La (0.2372, 0.7628, 0.7628)
La (0.2500, 0.2500, 0.2500)
La (0.7500, 0.7500, 0.7500)
La (0.7628, 0.2372, 0.2372)
Al (0.3352, 0.3352, 0.6648)
Al (0.6648, 0.6648, 0.3352)
Cu (0.1687, 0.1687, 0.8313)
Cu (0.1701, 0.6645, 0.3355)
Cu (0.3355, 0.8299, 0.1701)
Cu (0.6645, 0.1701, 0.8299)
Cu (0.8299, 0.3355, 0.6645)
Cu (0.8313, 0.8313, 0.1687)


Below is a geometry-optimized La2AlCu structure, with properties calculated at the PBE-GGA level.

Results
Space-group type = Pm
VASP energy = -0.342 Ry/atom
Calculated density = 6.1 g/cm³

Cell lengths 3.7374, 4.8725, 5.5383 Å; angles 90.00, 90.15, 90.00 degrees
Fractional positions:
La (0.0000, 0.0000, 0.0000)
La (0.0039, 0.5000, 0.6024)
Al (0.5024, 0.0000, 0.4629)
Cu (0.5004, 0.5000, 0.1666)


Below is a geometry-optimized LaAl2Cu structure, with properties calculated at the PBE-GGA level.

Results
Space-group type = P4mm
VASP energy = -0.317 Ry/atom
Calculated density = 5.3 g/cm³

Cell lengths 3.3244, 3.3244, 7.2233 Å; angles 90.00, 90.00, 90.00 degrees
Fractional positions:
La (0.0000, 0.0000, 0.0000)
Al (0.0000, 0.0000, 0.5361)
Al (0.5000, 0.5000, 0.3172)
Cu (0.5000, 0.5000, 0.6873)


Below is a geometry-optimized LaAl3Cu2 structure, with properties calculated at the PBE-GGA level.

Results
Space-group type = Cmcm
VASP energy = -0.328 Ry/atom
Calculated density = 5.3 g/cm³

Cell lengths 6.6243, 6.6243, 5.1266 Å; angles 90.00, 90.00, 75.50 degrees
Fractional positions:
La (0.1652, 0.8348, 0.7500)
La (0.8348, 0.1652, 0.2500)
Al (0.0294, 0.5844, 0.2500)
Al (0.4156, 0.9706, 0.2500)
Al (0.4328, 0.5672, 0.2500)
Al (0.5672, 0.4328, 0.7500)
Al (0.5844, 0.0294, 0.7500)
Al (0.9706, 0.4156, 0.7500)
Cu (0.2968, 0.2968, 0.0000)
Cu (0.2968, 0.2968, 0.5000)
Cu (0.7032, 0.7032, 0.0000)
Cu (0.7032, 0.7032, 0.5000)


Below is a geometry-optimized LaAlCu structure, with properties calculated at the PBE-GGA level.

Results
Space-group type = P-6m2
VASP energy = -0.336 Ry/atom
Calculated density = 5.6 g/cm³

Cell lengths 4.5483, 4.5483, 3.8138 Å; angles 90.00, 90.00, 120.00 degrees
Fractional positions:
La (0.0000, 0.0000, 0.0000)
Al (0.6667, 0.3333, 0.5000)
Cu (0.3333, 0.6667, 0.5000)


Below is a geometry-optimized La3Al2Cu3 structure, with properties calculated at the PBE-GGA level.

Results
Space-group type = Pnma
VASP energy = -0.340 Ry/atom
Calculated density = 5.9 g/cm³

Cell lengths 7.6548, 14.9624, 6.4837 Å; angles 90.00, 90.00, 90.00 degrees
Fractional positions:
La (0.0297, 0.1048, 0.1427)
La (0.0297, 0.3952, 0.1427)
La (0.1120, 0.7500, 0.3774)
La (0.3880, 0.2500, 0.8774)
La (0.4703, 0.6048, 0.6427)
La (0.4703, 0.8952, 0.6427)
La (0.5297, 0.1048, 0.3573)
La (0.5297, 0.3952, 0.3573)
La (0.6120, 0.7500, 0.1226)
La (0.8880, 0.2500, 0.6226)
La (0.9703, 0.6048, 0.8573)
La (0.9703, 0.8952, 0.8573)
Al (0.1760, 0.0905, 0.6408)
Al (0.1760, 0.4095, 0.6408)
Al (0.3240, 0.5905, 0.1408)
Al (0.3240, 0.9095, 0.1408)
Al (0.6760, 0.0905, 0.8592)
Al (0.6760, 0.4095, 0.8592)
Al (0.8240, 0.5905, 0.3592)
Al (0.8240, 0.9095, 0.3592)
Cu (0.1326, 0.5427, 0.4195)
Cu (0.1326, 0.9573, 0.4195)
Cu (0.2408, 0.2500, 0.4270)
Cu (0.2592, 0.7500, 0.9270)
Cu (0.3674, 0.0427, 0.9195)
Cu (0.3674, 0.4573, 0.9195)
Cu (0.6326, 0.5427, 0.0805)
Cu (0.6326, 0.9573, 0.0805)
Cu (0.7408, 0.2500, 0.0730)
Cu (0.7592, 0.7500, 0.5730)
Cu (0.8674, 0.0427, 0.5805)
Cu (0.8674, 0.4573, 0.5805)


Below is a geometry-optimized La3Al3Cu2 structure, with properties calculated at the PBE-GGA level.

Results
Space-group type = Cmcm
VASP energy = -0.340 Ry/atom
Calculated density = 5.6 g/cm³
E above lowest polymorph = 0.00 eV/f.u.

Cell lengths 5.7237, 5.7237, 15.2333 Å; angles 90.00, 90.00, 131.88 degrees
Fractional positions:
La (0.0921, 0.9079, 0.7500)
La (0.4028, 0.5972, 0.6125)
La (0.4028, 0.5972, 0.8875)
La (0.5972, 0.4028, 0.1125)
La (0.5972, 0.4028, 0.3875)
La (0.9079, 0.0921, 0.2500)
Al (0.1212, 0.8788, 0.5335)
Al (0.1212, 0.8788, 0.9665)
Al (0.2106, 0.7894, 0.2500)
Al (0.7894, 0.2106, 0.7500)
Al (0.8788, 0.1212, 0.0335)
Al (0.8788, 0.1212, 0.4665)
Cu (0.3010, 0.6990, 0.0939)
Cu (0.3010, 0.6990, 0.4061)
Cu (0.6990, 0.3010, 0.5939)
Cu (0.6990, 0.3010, 0.9061)


Below is a geometry-optimized LaAl4Cu4 structure, with properties calculated at the PBE-GGA level.

Results
Space-group type = I4/m
VASP energy = -0.314 Ry/atom
Calculated density = 5.2 g/cm³
E above lowest polymorph = 0.79 eV/f.u.

Cell lengths 6.3752, 6.3752, 6.3752 Å; angles 97.06, 97.06, 138.94 degrees
Fractional positions:
La (0.0000, 0.0000, 0.0000)
Al (0.1145, 0.6060, 0.7205)
Al (0.3940, 0.1145, 0.5084)
Al (0.6060, 0.8855, 0.4916)
Al (0.8855, 0.3940, 0.2795)
Cu (0.2037, 0.3242, 0.5279)
Cu (0.3242, 0.7963, 0.1204)
Cu (0.6758, 0.2037, 0.8796)
Cu (0.7963, 0.6758, 0.4721)


Below is a geometry-optimized LaAl5Cu3 structure, with properties calculated at the PBE-GGA level.

Results
Space-group type = Cmcm
VASP energy = -0.317 Ry/atom
Calculated density = 4.9 g/cm³

Cell lengths 6.6067, 6.6067, 12.6009 Å; angles 90.00, 90.00, 144.90 degrees
Fractional positions:
La (0.1601, 0.8399, 0.7500)
La (0.8399, 0.1601, 0.2500)
Al (0.0000, 0.0000, 0.0000)
Al (0.0000, 0.0000, 0.5000)
Al (0.1992, 0.8008, 0.0662)
Al (0.1992, 0.8008, 0.4338)
Al (0.4442, 0.5558, 0.6489)
Al (0.4442, 0.5558, 0.8511)
Al (0.5558, 0.4442, 0.1489)
Al (0.5558, 0.4442, 0.3511)
Al (0.8008, 0.1992, 0.5662)
Al (0.8008, 0.1992, 0.9338)
Cu (0.1263, 0.8737, 0.2500)
Cu (0.3890, 0.6110, 0.0436)
Cu (0.3890, 0.6110, 0.4564)
Cu (0.6110, 0.3890, 0.5436)
Cu (0.6110, 0.3890, 0.9564)
Cu (0.8737, 0.1263, 0.7500)


Below is a geometry-optimized LaAl2Cu structure, with properties calculated at the PBE-GGA level.

Results
Space-group type = C2/m
VASP energy = -0.295 Ry/atom
Calculated density = 5.1 g/cm³

Cell lengths 5.8244, 5.8244, 2.9176 Å; angles 96.79, 96.79, 119.95 degrees
Fractional positions:
La (0.0000, 0.0000, 0.0000)
Al (0.0000, 0.5000, 0.5000)
Al (0.5000, 0.0000, 0.5000)
Cu (0.5000, 0.5000, 0.0000)


Below is a geometry-optimized LaAl8Cu2 structure, with properties calculated at the PBE-GGA level.

Results
Space-group type = P4/mmm
VASP energy = -0.276 Ry/atom
Calculated density = 3.1 g/cm³

Cell lengths 5.6532, 5.6532, 8.1781 Å; angles 90.00, 90.00, 90.00 degrees
Fractional positions:
La (0.0000, 0.0000, 0.0000)
Al (0.2477, 0.2477, 0.3206)
Al (0.2477, 0.2477, 0.6794)
Al (0.2477, 0.7523, 0.3206)
Al (0.2477, 0.7523, 0.6794)
Al (0.7523, 0.2477, 0.3206)
Al (0.7523, 0.2477, 0.6794)
Al (0.7523, 0.7523, 0.3206)
Al (0.7523, 0.7523, 0.6794)
Cu (0.0000, 0.5000, 0.5000)
Cu (0.5000, 0.0000, 0.5000)


Below is a geometry-optimized La2AlCu2 structure, with properties calculated at the PBE-GGA level.

Results
Space-group type = I4/mmm
VASP energy = -0.327 Ry/atom
Calculated density = 6.1 g/cm³

Cell lengths 9.6383, 9.6383, 9.6383 Å; angles 158.78, 158.78, 30.18 degrees
Fractional positions:
La (0.1126, 0.1126, 0.0000)
La (0.8874, 0.8874, 0.0000)
Al (0.5000, 0.5000, 0.0000)
Cu (0.2500, 0.7500, 0.5000)
Cu (0.7500, 0.2500, 0.5000)